Model P:
First-principles (PBE-GGA) data for an optimized crystal structure of SiCS, as listed in Alexandria via LeMat-Bulk.

```
data_SiCS
_chemical_formula_sum 'Si1 C1 S1'
_cell_length_a 2.718
_cell_length_b 3.374
_cell_length_c 4.523
_cell_angle_alpha 84.01
_cell_angle_beta 73.07
_cell_angle_gamma 89.82
_symmetry_space_group_name_H-M 'P 1'
_symmetry_Int_Tables_number 1
_symmetry_space_group_name_Hall 'P 1'
loop_
_atom_site_label
_atom_site_fract_x
_atom_site_fract_y
_atom_site_fract_z
Si1 0.000 0.000 0.000
C1 0.876 0.453 0.258
S1 0.247 0.497 0.523
```

***

Model Q:
First-principles (PBE-GGA) data for an optimized crystal structure of SiCS, as listed in Alexandria via LeMat-Bulk.

```
data_SiCS
_chemical_formula_sum 'Si1 C1 S1'
_cell_length_a 3.207
_cell_length_b 2.708
_cell_length_c 6.403
_cell_angle_alpha 90.00
_cell_angle_beta 104.52
_cell_angle_gamma 90.00
_symmetry_space_group_name_H-M 'P 1'
_symmetry_Int_Tables_number 1
_symmetry_space_group_name_Hall 'P 1'
loop_
_atom_site_label
_atom_site_fract_x
_atom_site_fract_y
_atom_site_fract_z
Si1 0.000 0.000 0.000
C1 0.852 0.000 0.701
S1 0.769 0.500 0.533
```

***

Stability check: which of them is least stable? model Q.

***

Model P:
First-principles (PBE-GGA) data for an optimized crystal structure of SiCS, as listed in Alexandria via LeMat-Bulk.

```
data_SiCS
_chemical_formula_sum 'Si1 C1 S1'
_cell_length_a 6.625
_cell_length_b 6.625
_cell_length_c 2.941
_cell_angle_alpha 90.73
_cell_angle_beta 90.73
_cell_angle_gamma 25.65
_symmetry_space_group_name_H-M 'P 1'
_symmetry_Int_Tables_number 1
_symmetry_space_group_name_Hall 'P 1'
loop_
_atom_site_label
_atom_site_fract_x
_atom_site_fract_y
_atom_site_fract_z
Si1 0.000 0.000 0.000
C1 0.910 0.910 0.495
S1 0.785 0.785 0.488
```

***

Model Q:
First-principles (PBE-GGA) data for an optimized crystal structure of SiCS, as listed in Alexandria via LeMat-Bulk.

```
data_SiCS
_chemical_formula_sum 'Si1 C1 S1'
_cell_length_a 3.270
_cell_length_b 3.273
_cell_length_c 4.540
_cell_angle_alpha 69.87
_cell_angle_beta 72.65
_cell_angle_gamma 60.03
_symmetry_space_group_name_H-M 'P 1'
_symmetry_Int_Tables_number 1
_symmetry_space_group_name_Hall 'P 1'
loop_
_atom_site_label
_atom_site_fract_x
_atom_site_fract_y
_atom_site_fract_z
Si1 0.000 0.000 0.000
C1 0.309 0.291 0.118
S1 0.198 0.386 0.518
```

***

Model R:
First-principles (PBE-GGA) data for an optimized crystal structure of SiCS, as listed in Alexandria via LeMat-Bulk.

```
data_SiCS
_chemical_formula_sum 'Si2 C2 S2'
_cell_length_a 6.533
_cell_length_b 6.533
_cell_length_c 3.256
_cell_angle_alpha 94.78
_cell_angle_beta 94.78
_cell_angle_gamma 56.63
_symmetry_space_group_name_H-M 'P 1'
_symmetry_Int_Tables_number 1
_symmetry_space_group_name_Hall 'P 1'
loop_
_atom_site_label
_atom_site_fract_x
_atom_site_fract_y
_atom_site_fract_z
Si1 0.226 0.774 0.000
Si2 0.774 0.226 0.000
C1 0.389 0.611 0.500
C2 0.611 0.389 0.500
S1 0.143 0.143 0.051
S2 0.857 0.857 0.949
```

***

Stability check: which of them is least stable? model P.

***

Model P:
First-principles (PBE-GGA) data for an optimized crystal structure of Si2CS, as listed in Alexandria via LeMat-Bulk.

```
data_Si2CS
_chemical_formula_sum 'Si4 C2 S2'
_cell_length_a 6.263
_cell_length_b 6.263
_cell_length_c 6.263
_cell_angle_alpha 136.93
_cell_angle_beta 136.93
_cell_angle_gamma 62.55
_symmetry_space_group_name_H-M 'P 1'
_symmetry_Int_Tables_number 1
_symmetry_space_group_name_Hall 'P 1'
loop_
_atom_site_label
_atom_site_fract_x
_atom_site_fract_y
_atom_site_fract_z
Si1 0.031 0.625 0.906
Si2 0.375 0.281 0.406
Si3 0.719 0.125 0.094
Si4 0.875 0.969 0.594
C1 0.000 0.000 0.000
C2 0.750 0.250 0.500
S1 0.250 0.750 0.500
S2 0.500 0.500 0.000
```

***

Model Q:
First-principles (PBE-GGA) data for an optimized crystal structure of Si2CS, as listed in Alexandria via LeMat-Bulk.

```
data_Si2CS
_chemical_formula_sum 'Si2 C1 S1'
_cell_length_a 4.086
_cell_length_b 4.086
_cell_length_c 4.086
_cell_angle_alpha 60.00
_cell_angle_beta 60.00
_cell_angle_gamma 60.00
_symmetry_space_group_name_H-M 'P 1'
_symmetry_Int_Tables_number 1
_symmetry_space_group_name_Hall 'P 1'
loop_
_atom_site_label
_atom_site_fract_x
_atom_site_fract_y
_atom_site_fract_z
Si1 0.250 0.250 0.250
Si2 0.750 0.750 0.750
C1 0.000 0.000 0.000
S1 0.500 0.500 0.500
```

***

Stability check: which of them is least stable? model Q.

***

Model P:
First-principles (PBE-GGA) data for an optimized crystal structure of SiCS2, as listed in Alexandria via LeMat-Bulk.

```
data_SiCS2
_chemical_formula_sum 'Si2 C2 S4'
_cell_length_a 5.421
_cell_length_b 5.421
_cell_length_c 5.421
_cell_angle_alpha 115.10
_cell_angle_beta 115.10
_cell_angle_gamma 98.71
_symmetry_space_group_name_H-M 'P 1'
_symmetry_Int_Tables_number 1
_symmetry_space_group_name_Hall 'P 1'
loop_
_atom_site_label
_atom_site_fract_x
_atom_site_fract_y
_atom_site_fract_z
Si1 0.000 0.000 0.000
Si2 0.750 0.250 0.500
C1 0.250 0.750 0.500
C2 0.500 0.500 0.000
S1 0.164 0.625 0.039
S2 0.375 0.414 0.539
S3 0.586 0.125 0.961
S4 0.875 0.836 0.461
```

***

Model Q:
First-principles (PBE-GGA) data for an optimized crystal structure of SiCS2, as listed in Alexandria via LeMat-Bulk.

```
data_SiCS2
_chemical_formula_sum 'Si1 C1 S2'
_cell_length_a 4.178
_cell_length_b 4.178
_cell_length_c 4.178
_cell_angle_alpha 60.00
_cell_angle_beta 60.00
_cell_angle_gamma 60.00
_symmetry_space_group_name_H-M 'P 1'
_symmetry_Int_Tables_number 1
_symmetry_space_group_name_Hall 'P 1'
loop_
_atom_site_label
_atom_site_fract_x
_atom_site_fract_y
_atom_site_fract_z
Si1 0.000 0.000 0.000
C1 0.500 0.500 0.500
S1 0.250 0.250 0.250
S2 0.750 0.750 0.750
```

***

Stability check: which of them is least stable? model Q.

***

Model P:
First-principles (PBE-GGA) data for an optimized crystal structure of SiCS2, as listed in Alexandria via LeMat-Bulk.

```
data_SiCS2
_chemical_formula_sum 'Si1 C1 S2'
_cell_length_a 7.558
_cell_length_b 7.558
_cell_length_c 7.558
_cell_angle_alpha 22.84
_cell_angle_beta 22.84
_cell_angle_gamma 22.84
_symmetry_space_group_name_H-M 'P 1'
_symmetry_Int_Tables_number 1
_symmetry_space_group_name_Hall 'P 1'
loop_
_atom_site_label
_atom_site_fract_x
_atom_site_fract_y
_atom_site_fract_z
Si1 0.000 0.000 0.000
C1 0.500 0.500 0.500
S1 0.111 0.111 0.111
S2 0.889 0.889 0.889
```

***

Model Q:
First-principles (PBE-GGA) data for an optimized crystal structure of SiCS2, as listed in Alexandria via LeMat-Bulk.

```
data_SiCS2
_chemical_formula_sum 'Si1 C1 S2'
_cell_length_a 7.296
_cell_length_b 7.296
_cell_length_c 7.296
_cell_angle_alpha 27.03
_cell_angle_beta 27.03
_cell_angle_gamma 27.03
_symmetry_space_group_name_H-M 'P 1'
_symmetry_Int_Tables_number 1
_symmetry_space_group_name_Hall 'P 1'
loop_
_atom_site_label
_atom_site_fract_x
_atom_site_fract_y
_atom_site_fract_z
Si1 0.000 0.000 0.000
C1 0.500 0.500 0.500
S1 0.425 0.425 0.425
S2 0.575 0.575 0.575
```

***

Stability check: which of them is least stable? model P.

***

Model P:
First-principles (PBE-GGA) data for an optimized crystal structure of SiCS3, as listed in Alexandria via LeMat-Bulk.

```
data_SiCS3
_chemical_formula_sum 'Si1 C1 S3'
_cell_length_a 4.463
_cell_length_b 4.463
_cell_length_c 4.463
_cell_angle_alpha 90.00
_cell_angle_beta 90.00
_cell_angle_gamma 90.00
_symmetry_space_group_name_H-M 'P 1'
_symmetry_Int_Tables_number 1
_symmetry_space_group_name_Hall 'P 1'
loop_
_atom_site_label
_atom_site_fract_x
_atom_site_fract_y
_atom_site_fract_z
Si1 0.000 0.000 0.000
C1 0.500 0.500 0.500
S1 0.000 0.000 0.500
S2 0.000 0.500 0.000
S3 0.500 0.000 0.000
```

***

Model Q:
First-principles (PBE-GGA) data for an optimized crystal structure of SiCS3, as listed in Alexandria via LeMat-Bulk.

```
data_SiCS3
_chemical_formula_sum 'Si1 C1 S3'
_cell_length_a 4.113
_cell_length_b 4.113
_cell_length_c 4.113
_cell_angle_alpha 90.00
_cell_angle_beta 90.00
_cell_angle_gamma 90.00
_symmetry_space_group_name_H-M 'P 1'
_symmetry_Int_Tables_number 1
_symmetry_space_group_name_Hall 'P 1'
loop_
_atom_site_label
_atom_site_fract_x
_atom_site_fract_y
_atom_site_fract_z
Si1 0.000 0.000 0.000
C1 0.500 0.500 0.500
S1 0.000 0.500 0.500
S2 0.500 0.000 0.500
S3 0.500 0.500 0.000
```

***

Stability check: which of them is least stable? model P.